No. 1
A geometry-optimized LiHf2ZnSi structure, computed with GGA-PBE.

abc: 4.9910 4.9910 4.3465
angles: 90.00 90.00 90.00
With the nearest neighbours (Å) after each atom.
Positions (direct):
1 Li 0.0000 0.0000 0.0000  8 Hf 3.31, 4 Si 3.53
2 Hf 0.0000 0.5000 0.5000  2 Zn 2.50
3 Hf 0.5000 0.0000 0.5000  2 Zn 2.50
4 Zn 0.5000 0.5000 0.5000  2 Si 2.17
5 Si 0.5000 0.5000 0.0000  2 Zn 2.17

D(E_F)   5.39 states/eV/cell
ρ   7.02 g cm⁻³
E   -4.9682 eV/atom



No. 2
A geometry-optimized HfBN structure, computed with GGA-PBE.

abc: 5.5217 3.2194 7.3924
angles: 90.00 111.36 90.00
With the nearest neighbours (Å) after each atom.
Positions (direct):
1 Hf 0.0000 0.0000 0.0000  3 N 2.30, 6 B 2.52-2.56
2 Hf 0.0190 0.5000 0.3773  6 N 2.20-2.23
3 Hf 0.5000 0.5000 0.0000  3 N 2.30, 6 B 2.52-2.56
4 Hf 0.5190 0.0000 0.3773  6 N 2.20-2.23
5 B 0.0357 0.5000 0.7476  1 N 1.61, 1 B 1.79
6 B 0.2116 0.0000 0.7495  1 N 1.60
7 B 0.5357 0.0000 0.7476  1 N 1.61, 1 B 1.79
8 B 0.7116 0.5000 0.7495  1 N 1.60
9 N 0.2621 0.5000 0.1981  6 Hf 2.20-2.30
10 N 0.2747 0.0000 0.5553  2 B 1.60-1.61
11 N 0.7621 0.0000 0.1981  6 Hf 2.20-2.30
12 N 0.7747 0.5000 0.5553  2 B 1.60-1.61

D(E_F)   1.60 states/eV/cell
ρ   11.03 g cm⁻³
Distance to the lowest polymorph of the same formula   0.05 eV per formula unit



No. 3
A geometry-optimized CsInHgS3 structure, computed with GGA-PBE.

abc: 8.2022 8.2022 22.3902
angles: 95.26 95.26 90.00
With the nearest neighbours (Å) after each atom.
Positions (direct):
1 Cs 0.1066 0.7306 0.9224  6 S 3.58-3.62
2 Cs 0.2692 0.3953 0.5776  6 S 3.58-3.62
3 Cs 0.2694 0.8934 0.5776  6 S 3.58-3.62
4 Cs 0.3953 0.2692 0.0776  6 S 3.58-3.62
5 Cs 0.6047 0.7308 0.9224  6 S 3.58-3.62
6 Cs 0.7306 0.1066 0.4224  6 S 3.58-3.62
7 Cs 0.7308 0.6047 0.4224  6 S 3.58-3.62
8 Cs 0.8934 0.2694 0.0776  6 S 3.58-3.62
9 In 0.1550 0.7800 0.1202  4 S 2.49-2.52
10 In 0.2198 0.3445 0.3786  4 S 2.49-2.53
11 In 0.2200 0.8450 0.3798  4 S 2.49-2.52
12 In 0.3445 0.2198 0.8786  4 S 2.49-2.53
13 In 0.6555 0.7802 0.1214  4 S 2.49-2.53
14 In 0.7800 0.1550 0.6202  4 S 2.49-2.52
15 In 0.7802 0.6555 0.6214  4 S 2.49-2.53
16 In 0.8450 0.2200 0.8798  4 S 2.49-2.52
17 Hg 0.0593 0.4344 0.7499  4 S 2.59-2.61
18 Hg 0.0595 0.9405 0.7500  4 S 2.59-2.61
19 Hg 0.4344 0.0593 0.2499  4 S 2.59-2.61
20 Hg 0.4345 0.5655 0.2500  4 S 2.59-2.61
21 Hg 0.5655 0.4345 0.7500  4 S 2.59-2.61
22 Hg 0.5656 0.9407 0.7501  4 S 2.59-2.61
23 Hg 0.9405 0.0595 0.2500  4 S 2.59-2.61
24 Hg 0.9407 0.5656 0.2501  4 S 2.59-2.61
25 S 0.0554 0.1694 0.6778  1 In 2.49, 2 Hg 2.59
26 S 0.0550 0.6698 0.6792  1 In 2.49, 2 Hg 2.61
27 S 0.1120 0.2365 0.9454  2 In 2.52-2.53
28 S 0.1694 0.0554 0.1778  1 In 2.49, 2 Hg 2.59
29 S 0.1694 0.5334 0.1778  1 In 2.49, 2 Hg 2.59
30 S 0.2363 0.6106 0.4453  2 In 2.52-2.53
31 S 0.2365 0.1120 0.4454  2 In 2.52-2.53
32 S 0.3301 0.4656 0.8208  1 In 2.49, 2 Hg 2.61
33 S 0.3302 0.9450 0.8208  1 In 2.49, 2 Hg 2.61
34 S 0.3893 0.7637 0.0547  2 In 2.52-2.53
35 S 0.4656 0.3301 0.3208  1 In 2.49, 2 Hg 2.61
36 S 0.4666 0.8306 0.3222  1 In 2.49, 2 Hg 2.59
37 S 0.5334 0.1694 0.6778  1 In 2.49, 2 Hg 2.59
38 S 0.5344 0.6699 0.6792  1 In 2.49, 2 Hg 2.61
39 S 0.6106 0.2363 0.9453  2 In 2.52-2.53
40 S 0.6698 0.0550 0.1792  1 In 2.49, 2 Hg 2.61
41 S 0.6699 0.5344 0.1792  1 In 2.49, 2 Hg 2.61
42 S 0.7635 0.8880 0.5546  2 In 2.52-2.53
43 S 0.7637 0.3893 0.5547  2 In 2.52-2.53
44 S 0.8306 0.4666 0.8222  1 In 2.49, 2 Hg 2.59
45 S 0.8306 0.9446 0.8222  1 In 2.49, 2 Hg 2.59
46 S 0.8880 0.7635 0.0546  2 In 2.52-2.53
47 S 0.9450 0.3302 0.3209  1 In 2.49, 2 Hg 2.61
48 S 0.9446 0.8306 0.3222  1 In 2.49, 2 Hg 2.59

ρ   4.84 g cm⁻³
E   -3.4099 eV/atom



No. 4
A geometry-optimized LiNdDy structure, computed with GGA-PBE.

abc: 3.5288 3.5288 8.4062
angles: 90.00 90.00 120.00
With the nearest neighbours (Å) after each atom.
Positions (direct):
1 Li 0.0000 0.0000 0.0000  3 Dy 3.40, 3 Nd 3.47, 6 Li 3.53
2 Nd 0.6667 0.3333 0.3345  3 Li 3.47, 3 Dy 3.52, 6 Nd 3.53
3 Dy 0.3333 0.6667 0.6767  3 Li 3.40, 3 Nd 3.52, 6 Dy 3.53

D(E_F)   3.21 states/eV/cell
ρ   5.75 g cm⁻³
Distance to the lowest polymorph of the same formula   0.07 eV per formula unit
Energy of formation from the pure elements   0.105 eV/atom



No. 5
A geometry-optimized Pr3Er4 structure, computed with GGA-PBE.

abc: 3.6073 5.0454 25.2635
angles: 90.00 90.00 90.00
With the nearest neighbours (Å) after each atom.
Positions (direct):
1 Pr 0.0000 0.0000 0.0000  8 Er 3.60, 4 Pr 3.61
2 Pr 0.0000 0.0000 0.1431  9 Er 3.57-3.60, 3 Pr 3.61
3 Pr 0.0000 0.0000 0.8569  9 Er 3.57-3.60, 3 Pr 3.61
4 Pr 0.5000 0.5000 0.3569  9 Er 3.57-3.60, 3 Pr 3.61
5 Pr 0.5000 0.5000 0.5000  8 Er 3.60, 4 Pr 3.61
6 Pr 0.5000 0.5000 0.6431  9 Er 3.57-3.60, 3 Pr 3.61
7 Er 0.0000 0.0000 0.2844  7 Er 3.55-3.63, 5 Pr 3.57-3.60
8 Er 0.0000 0.0000 0.4280  8 Pr 3.58-3.60, 4 Er 3.61-3.64
9 Er 0.0000 0.0000 0.5720  8 Pr 3.58-3.60, 4 Er 3.61-3.64
10 Er 0.0000 0.0000 0.7156  7 Er 3.55-3.63, 5 Pr 3.57-3.60
11 Er 0.5000 0.5000 0.0720  8 Pr 3.58-3.60, 4 Er 3.61-3.64
12 Er 0.5000 0.5000 0.2156  7 Er 3.55-3.63, 5 Pr 3.57-3.60
13 Er 0.5000 0.5000 0.7844  7 Er 3.55-3.63, 5 Pr 3.57-3.60
14 Er 0.5000 0.5000 0.9280  8 Pr 3.58-3.60, 4 Er 3.61-3.64

D(E_F)   19.09 states/eV/cell
ρ   7.89 g cm⁻³
Distance to the lowest polymorph of the same formula   0.00 eV per formula unit
Energy of formation from the pure elements   0.023 eV/atom



No. 6
A geometry-optimized SnIO2F structure, computed with GGA-PBE.

abc: 3.9115 3.9115 6.5555
angles: 90.00 90.00 90.00
With the nearest neighbours (Å) after each atom.
Positions (direct):
1 Sn 0.0000 0.0000 0.0000  4 O 1.96
2 I 0.0000 0.0000 0.5000  4 F 2.77
3 O 0.0000 0.5000 0.0000  2 Sn 1.96
4 O 0.5000 0.0000 0.0000  2 Sn 1.96
5 F 0.5000 0.5000 0.5000  4 I 2.77

D(E_F)   3.32 states/eV/cell
ρ   4.91 g cm⁻³
E   -4.0460 eV/atom



No. 7
A geometry-optimized TeAsIrAu structure, computed with GGA-PBE.

abc: 4.2334 4.7397 4.8336
angles: 93.40 108.60 91.97
With the nearest neighbours (Å) after each atom.
Positions (direct):
1 Te 0.0000 0.0000 0.0000  2 Ir 2.67-2.68, 2 Au 2.74-2.82, 1 As 2.90
2 As 0.6715 0.6060 0.5002  2 Ir 2.39, 1 Au 2.54
3 Ir 0.0842 0.5201 0.2700  2 As 2.39, 1 Te 2.67
4 Au 0.4436 0.3362 0.8416  1 As 2.54, 2 Te 2.74-2.82

D(E_F)   1.56 states/eV/cell
ρ   10.73 g cm⁻³
Distance to the lowest polymorph of the same formula   0.67 eV per formula unit



No. 8
A geometry-optimized LiTaBi2Br structure, computed with GGA-PBE.

abc: 4.9492 4.9492 5.2024
angles: 90.00 90.00 90.00
With the nearest neighbours (Å) after each atom.
Positions (direct):
1 Li 0.0000 0.0000 0.0000  4 Bi 2.47, 2 Ta 2.60
2 Ta 0.0000 0.0000 0.5000  2 Li 2.60
3 Bi 0.0000 0.5000 0.0000  2 Li 2.47
4 Bi 0.5000 0.0000 0.0000  2 Li 2.47
5 Br 0.5000 0.5000 0.5000  4 Ta 3.50, 8 Bi 3.59

D(E_F)   3.53 states/eV/cell
ρ   8.94 g cm⁻³
E   -3.7658 eV/atom



No. 9
A geometry-optimized RbCa3Ga structure, computed with GGA-PBE.

abc: 6.2385 6.2385 6.2385
angles: 90.00 90.00 90.00
With the nearest neighbours (Å) after each atom.
Positions (direct):
1 Rb 0.0000 0.0000 0.0000  6 Ca 3.12
2 Ca 0.0000 0.0000 0.5000  2 Rb 3.12
3 Ca 0.0000 0.5000 0.0000  2 Rb 3.12
4 Ca 0.5000 0.0000 0.0000  2 Rb 3.12
5 Ga 0.5000 0.5000 0.5000  12 Ca 4.41

D(E_F)   9.56 states/eV/cell
ρ   1.88 g cm⁻³
Distance to the lowest polymorph of the same formula   5.81 eV per formula unit
Energy of formation from the pure elements   1.111 eV/atom



No. 10
A geometry-optimized La2InSe structure, computed with GGA-PBE.

abc: 4.5193 4.5193 11.3974
angles: 90.00 90.00 90.00
With the nearest neighbours (Å) after each atom.
Positions (direct):
1 La 0.0000 0.0000 0.0000  4 In 3.20
2 La 0.0000 0.5000 0.2500  4 Se 3.20
3 La 0.5000 0.0000 0.7500  4 Se 3.20
4 La 0.5000 0.5000 0.5000  4 In 3.20
5 In 0.0000 0.0000 0.5000  4 La 3.20
6 In 0.5000 0.5000 0.0000  4 La 3.20
7 Se 0.0000 0.5000 0.7500  4 La 3.20
8 Se 0.5000 0.0000 0.2500  4 La 3.20

D(E_F)   7.14 states/eV/cell
ρ   6.73 g cm⁻³
Distance to the lowest polymorph of the same formula   1.36 eV per formula unit



Size of the total moment (μB per formula unit)
0.00; 0.00; 0.00; 0.00; 0.00; 0.62; 0.00; 1.93; 1.74; 0.00